Record 1
## Sm2Cd16Pb (PBE)

Data for a geometry-optimized Sm2Cd16Pb structure.

Lattice parameters (Å, degrees): 7.702 7.702 7.702 83.70 83.70 83.70
Element x y z (fractional)
Sm1 0.000 0.000 0.000
Sm2 0.334 0.334 0.334
Cd1 0.020 0.020 0.515
Cd2 0.020 0.515 0.020
Cd3 0.189 0.655 0.655
Cd4 0.308 0.308 0.858
Cd5 0.308 0.858 0.308
Cd6 0.355 0.672 0.981
Cd7 0.355 0.981 0.672
Cd8 0.515 0.020 0.020
Cd9 0.565 0.565 0.565
Cd10 0.655 0.189 0.655
Cd11 0.655 0.655 0.189
Cd12 0.672 0.355 0.981
Cd13 0.672 0.981 0.355
Cd14 0.858 0.308 0.308
Cd15 0.981 0.355 0.672
Cd16 0.981 0.672 0.355
Pb1 0.770 0.770 0.770

Properties
Space-group type: R3m (160)
DOS at the Fermi energy, states/eV/f.u.: 7.34
Formation energy from the elements, meV per atom: -124


Record 2
## BaTl6Hg (PBE)

Data for a geometry-optimized BaTl6Hg structure.

Lattice parameters (Å, degrees): 5.194 7.174 7.174 76.06 90.00 90.00
Element x y z (fractional)
Ba1 0.000 0.000 0.000
Tl1 0.000 0.081 0.495
Tl2 0.000 0.495 0.081
Tl3 0.000 0.580 0.580
Tl4 0.500 0.226 0.226
Tl5 0.500 0.301 0.705
Tl6 0.500 0.705 0.301
Hg1 0.500 0.783 0.783

Properties
Energy above the most stable polymorph in this dataset, meV per atom: 0
Space-group type: Amm2 (38)
DOS at the Fermi energy, states/eV/f.u.: 3.89
Formation energy from the elements, meV per atom: -131


Record 3
## Cs4AgCl (PBE)

Data for a geometry-optimized Cs4AgCl structure.

Lattice parameters (Å, degrees): 11.677 11.677 11.730 106.43 106.43 36.55
Element x y z (fractional)
Cs1 0.059 0.059 0.367
Cs2 0.147 0.147 0.994
Cs3 0.266 0.266 0.679
Cs4 0.386 0.386 0.306
Cs5 0.614 0.614 0.694
Cs6 0.734 0.734 0.321
Cs7 0.853 0.853 0.006
Cs8 0.941 0.941 0.633
Ag1 0.222 0.222 0.340
Ag2 0.778 0.778 0.660
Cl1 0.104 0.104 0.680
Cl2 0.896 0.896 0.320

Properties
Formation energy (no corrections), kJ/mol of formula units: -334.6
Space-group type: C2/m (12)
DOS at the Fermi energy, states/eV/f.u.: 3.64